Record 1
The following is a PBE-GGA calculation of crystalline Tb2Al3Cu2 at its relaxed geometry, from Alexandria via LeMat-Bulk.

extended XYZ file:
```
7
Lattice="-4.013 -1.224 -0.154 3.113 -2.518 -3.870 0.583 -2.697 6.237" Properties=species:S:1:pos:R:3 pbc="T T T"
Al -2.006 -0.612 -0.077
Tb 0.777 -3.018 3.725
Al -1.487 -2.540 1.703
Al 1.170 -3.899 0.509
Cu -0.761 -4.944 1.910
Tb -1.094 -3.421 -1.513
Cu 0.445 -1.495 0.302
```

Space group: C2/m, No. 12
D(E_F): 3.80 states/eV per cell
Formation energy from the elements: -0.419 eV/atom

***

Record 2
The following is a PBE-GGA calculation of crystalline AlOs2Br at its relaxed geometry, from Alexandria via LeMat-Bulk.

extended XYZ file:
```
4
Lattice="-1.588 -3.050 -3.973 0.574 -4.453 -2.729 -2.990 -2.658 2.201" Properties=species:S:1:pos:R:3 pbc="T T T"
Os -1.930 -5.267 -2.586
Al -1.001 -2.540 -1.125
Os -1.085 -7.316 -6.367
Br -3.003 -7.621 -3.376
```

Space group: C2/m, No. 12
D(E_F): 2.46 states/eV per cell
ΔE_f (raw): 0.60 eV per atom

***

Record 3
The following is a PBE-GGA calculation of crystalline K2Na5Tl4 at its relaxed geometry, from Alexandria via LeMat-Bulk.

extended XYZ file:
```
11
Lattice="6.636 0.000 0.000 3.318 7.590 -0.779 3.318 1.341 7.496" Properties=species:S:1:pos:R:3 pbc="T T T"
Tl 9.955 7.647 3.623
Tl 3.318 3.344 0.374
Na 3.318 4.465 3.359
K 6.636 6.272 4.712
Na 8.290 2.487 5.979
Na 4.982 2.487 5.979
K 6.636 2.659 2.005
Tl 3.318 1.284 3.094
Tl 9.955 5.587 6.343
Na 8.290 6.444 0.738
Na 4.982 6.444 0.738
```

Space group: C2/m, No. 12
D(E_F): 7.01 states/eV per cell
Formation energy from the elements: -0.059 eV/atom

***

Record 4
The following is a PBE-GGA calculation of crystalline AlV3Te at its relaxed geometry, from Alexandria via LeMat-Bulk.

extended XYZ file:
```
5
Lattice="-2.917 -2.364 -2.839 2.892 -3.711 0.119 -2.298 -1.671 3.753" Properties=species:S:1:pos:R:3 pbc="T T T"
V 1.446 -1.856 0.059
V -1.149 -0.835 1.876
Te -1.161 -3.873 0.516
V -1.458 -1.182 -1.419
Al 0.000 0.000 0.000
```

Space group: Pm-3m, No. 221
D(E_F): 8.09 states/eV per cell
ΔE_f (raw): 1.00 eV per atom

***

Record 5
The following is a PBE-GGA calculation of crystalline Tb3Pm5Ho at its relaxed geometry, from Alexandria via LeMat-Bulk.

extended XYZ file:
```
18
Lattice="6.763 0.000 0.000 -3.381 7.727 -2.854 0.000 -0.009 11.604" Properties=species:S:1:pos:R:3 pbc="T T T"
Pm 2.119 -0.007 8.703
Pm 0.007 6.020 8.797
Pm 3.388 1.694 5.756
Pm 0.617 2.648 8.852
Pm 3.374 1.698 -0.046
Pm -0.007 6.024 2.994
Pm 4.644 -0.002 2.901
Tb 0.675 4.029 5.807
Ho 5.156 -0.007 8.703
Tb 0.000 -0.004 5.802
Pm -0.617 2.652 3.050
Tb 4.056 3.685 8.745
Tb 0.000 0.000 0.000
Ho 1.607 -0.002 2.901
Pm 3.999 5.066 5.701
Tb -0.675 4.033 0.005
Pm 2.764 5.070 -0.101
Tb 2.707 3.689 2.943
```

Space group: C2/c, No. 15
D(E_F): 24.88 states/eV per cell
Formation energy from the elements: 0.167 eV/atom

***

Record 6
The following is a PBE-GGA calculation of crystalline TaSi2Te at its relaxed geometry, from Alexandria via LeMat-Bulk.

extended XYZ file:
```
4
Lattice="3.278 0.000 0.000 0.000 3.279 0.000 0.000 0.000 7.666" Properties=species:S:1:pos:R:3 pbc="T T T"
Ta 0.000 0.000 3.446
Si 0.000 0.000 0.790
Si 1.639 1.639 2.003
Te 1.639 1.639 5.259
```

Space group: P4mm, No. 99
D(E_F): 1.50 states/eV per cell
ΔE_f (raw): 0.14 eV per atom

***

Record 7
The following is a PBE-GGA calculation of crystalline Te2MoRhN at its relaxed geometry, from Alexandria via LeMat-Bulk.

extended XYZ file:
```
5
Lattice="-2.713 -1.506 4.357 2.844 -4.526 0.206 2.536 1.692 2.164" Properties=species:S:1:pos:R:3 pbc="T T T"
Te 1.422 -2.263 0.103
N 1.268 0.846 1.082
Te -1.357 -0.753 2.179
Rh 1.334 -2.170 3.364
Mo 0.000 0.000 0.000
```

Space group: P4/mmm, No. 123
D(E_F): 3.64 states/eV per cell
ΔE_f (raw): 0.57 eV per atom

***

Record 8
The following is a PBE-GGA calculation of crystalline LiCaNdPb at its relaxed geometry, from Alexandria via LeMat-Bulk.

extended XYZ file:
```
4
Lattice="-0.137 5.452 -0.120 -4.080 2.570 -2.549 -3.755 2.698 2.894" Properties=species:S:1:pos:R:3 pbc="T T T"
Li 0.000 0.000 0.000
Nd -5.979 8.040 0.168
Pb -3.986 5.360 0.112
Ca -1.993 2.680 0.056
```

Space group: F-43m, No. 216
D(E_F): 2.89 states/eV per cell
Formation energy from the elements: -0.339 eV/atom

***

Record 9
The following is a PBE-GGA calculation of crystalline BiW at its relaxed geometry, from Alexandria via LeMat-Bulk.

extended XYZ file:
```
8
Lattice="-0.042 -3.432 5.199 5.315 2.692 1.821 -2.876 3.936 2.575" Properties=species:S:1:pos:R:3 pbc="T T T"
W 3.132 1.327 7.371
Bi 0.121 0.366 5.477
W 3.351 0.447 3.059
W 1.922 -1.186 3.960
Bi 4.212 -0.591 5.608
W -0.735 1.869 2.223
Bi 2.276 2.830 4.118
Bi 1.061 -0.149 1.412
```

Space group: P4_2/mnm, No. 136
D(E_F): 8.38 states/eV per cell
Formation energy from the elements: 1.287 eV/atom

***

Record 10
The following is a PBE-GGA calculation of crystalline Cr5C at its relaxed geometry, from Alexandria via LeMat-Bulk.

extended XYZ file:
```
6
Lattice="1.992 4.445 -2.568 -3.889 -2.373 3.093 2.121 1.060 3.480" Properties=species:S:1:pos:R:3 pbc="T T T"
Cr 1.091 2.701 1.061
Cr 1.060 0.530 1.740
Cr 1.189 3.514 -1.794
Cr -0.867 0.431 2.944
C -0.949 1.036 0.263
Cr -3.086 -1.441 2.319
```

Space group: Cmmm, No. 65
D(E_F): 5.79 states/eV per cell
Formation energy from the elements: 0.336 eV/atom

***

Record 11
The following is a PBE-GGA calculation of crystalline CeMgCdPb at its relaxed geometry, from Alexandria via LeMat-Bulk.

extended XYZ file:
```
4
Lattice="5.302 0.000 0.000 2.651 4.592 0.000 2.651 1.531 4.329" Properties=species:S:1:pos:R:3 pbc="T T T"
Ce 0.000 0.000 0.000
Pb 2.651 1.531 1.082
Cd 7.953 4.592 3.247
Mg 5.302 3.061 2.165
```

Space group: F-43m, No. 216
D(E_F): 7.32 states/eV per cell
Formation energy from the elements: -0.228 eV/atom

***

Record 12
The following is a PBE-GGA calculation of crystalline La2NdGa6 at its relaxed geometry, from Alexandria via LeMat-Bulk.

extended XYZ file:
```
9
Lattice="-0.459 1.704 -4.137 -7.211 3.760 -0.096 -1.327 7.963 0.983" Properties=species:S:1:pos:R:3 pbc="T T T"
La -7.670 11.213 -1.864
Ga -3.970 3.383 -0.611
Ga -6.128 4.533 0.103
La -1.328 2.214 -1.386
Nd -4.499 6.713 -1.625
Ga -2.410 7.190 0.784
Ga -5.027 10.044 -2.639
Ga -7.184 8.503 -3.034
Ga -1.813 4.923 -0.215
```

Space group: Immm, No. 71
D(E_F): 5.79 states/eV per cell
Formation energy from the elements: -0.448 eV/atom

***

Record 13
The following is a PBE-GGA calculation of crystalline LaF at its relaxed geometry, from Alexandria via LeMat-Bulk.

extended XYZ file:
```
8
Lattice="-5.204 -2.302 1.315 2.084 -5.343 -1.105 1.639 -0.515 5.582" Properties=species:S:1:pos:R:3 pbc="T T T"
F -2.153 -3.448 4.897
La -1.782 -1.409 3.449
La 1.861 -2.929 2.238
La 0.000 0.000 0.000
F 1.491 -4.969 3.687
La -1.560 -3.822 0.105
F -1.930 -5.862 1.553
F -0.370 -2.040 1.448
```

Space group: F-43m, No. 216
D(E_F): 7.36 states/eV per cell
ΔE_f (raw): -2.43 eV per atom

***

Record 14
The following is a PBE-GGA calculation of crystalline TbSm2ErTe5 at its relaxed geometry, from Alexandria via LeMat-Bulk.

extended XYZ file:
```
9
Lattice="-2.113 -3.707 3.571 -2.235 -2.816 -4.246 9.599 -6.308 -0.868" Properties=species:S:1:pos:R:3 pbc="T T T"
Te 3.743 -5.008 1.352
Tb 4.800 -3.154 -0.434
Te 2.343 -1.540 -0.212
Te -2.174 -3.262 -0.338
Sm 1.117 -5.424 -0.635
Te 3.682 -4.562 -2.557
Te 7.256 -4.769 -0.656
Sm 4.135 -7.408 -0.908
Er 0.000 0.000 0.000
```

Space group: P4/mmm, No. 123
D(E_F): 4.48 states/eV per cell
ΔE_f (raw): -0.72 eV per atom

***

Record 15
The following is a PBE-GGA calculation of crystalline Hf4GaCo at its relaxed geometry, from Alexandria via LeMat-Bulk.

extended XYZ file:
```
6
Lattice="4.417 0.000 0.000 0.000 4.253 -1.026 0.000 -2.697 7.318" Properties=species:S:1:pos:R:3 pbc="T T T"
Co 0.000 0.778 3.146
Ga 2.208 2.127 -0.513
Hf 2.208 1.154 4.614
Hf 2.208 0.402 1.678
Hf 0.000 2.527 1.157
Hf 0.000 -0.971 5.134
```

Space group: P2/m, No. 10
D(E_F): 4.87 states/eV per cell
Formation energy from the elements: -0.038 eV/atom

***

Record 16
The following is a PBE-GGA calculation of crystalline KSnAsO6 at its relaxed geometry, from Alexandria via LeMat-Bulk.

extended XYZ file:
```
9
Lattice="5.267 0.000 0.000 2.633 4.561 0.000 0.000 0.000 6.062" Properties=species:S:1:pos:R:3 pbc="T T T"
K 5.267 0.000 0.000
O 3.300 0.161 1.962
Sn 5.267 3.041 3.031
O 1.789 2.778 4.100
As 2.633 1.520 3.031
O 4.144 1.622 4.100
O 1.966 0.161 4.100
O 1.122 1.623 1.962
O 3.477 2.778 1.962
```

Space group: P312, No. 149
D(E_F): 6.05 states/eV per cell
ΔE_f (raw): -1.11 eV per atom

***

Record 17
The following is a PBE-GGA calculation of crystalline Pa2SeBr8 at its relaxed geometry, from Alexandria via LeMat-Bulk.

extended XYZ file:
```
11
Lattice="-7.904 1.837 3.287 -8.247 -6.099 0.553 -4.494 -3.926 8.361" Properties=species:S:1:pos:R:3 pbc="T T T"
Br -11.003 -6.983 7.232
Br -6.093 -2.734 5.596
Pa -13.324 -7.404 8.464
Pa -7.321 -0.784 3.737
Br -9.642 -1.205 4.969
Se 0.000 0.000 0.000
Br -14.551 -5.455 6.605
Br -7.494 -3.545 2.681
Br -4.955 -0.573 2.541
Br -13.150 -4.643 9.520
Br -15.690 -7.616 9.660
```

Space group: C2/m, No. 12
ΔE_f (raw): -1.38 eV per atom

***

Record 18
The following is a PBE-GGA calculation of crystalline Ac2Ga3IrPt4 at its relaxed geometry, from Alexandria via LeMat-Bulk.

extended XYZ file:
```
10
Lattice="4.436 0.000 0.000 0.000 4.436 0.000 0.000 0.000 10.511" Properties=species:S:1:pos:R:3 pbc="T T T"
Ac 0.000 2.218 7.843
Pt 2.218 2.218 0.000
Ga 2.218 0.000 9.222
Ac 2.218 0.000 2.668
Pt 2.218 0.000 6.710
Pt 0.000 2.218 3.800
Ga 0.000 2.218 1.288
Ga 0.000 0.000 5.255
Ir 2.218 2.218 5.255
Pt 0.000 0.000 0.000
```

Space group: P-4m2, No. 115
D(E_F): 7.88 states/eV per cell
Formation energy from the elements: -0.808 eV/atom

***

Record 19
The following is a PBE-GGA calculation of crystalline Er5AlSe4 at its relaxed geometry, from Alexandria via LeMat-Bulk.

extended XYZ file:
```
10
Lattice="-2.284 5.223 -0.800 -5.918 1.154 3.719 2.393 4.910 4.512" Properties=species:S:1:pos:R:3 pbc="T T T"
Se -4.426 4.824 2.671
Al -0.002 0.005 -0.001
Er -3.974 5.452 5.478
Er -3.338 2.189 3.068
Er -1.840 5.845 1.951
Se -5.110 8.058 5.020
Se -1.388 6.473 4.757
Er -1.144 2.617 -0.401
Er -2.476 9.108 4.360
Se -0.704 3.240 2.409
```

Space group: I4/m, No. 87
D(E_F): 3.19 states/eV per cell
ΔE_f (raw): -1.45 eV per atom

***

Record 20
The following is a PBE-GGA calculation of crystalline PmZn2Cu4 at its relaxed geometry, from Alexandria via LeMat-Bulk.

extended XYZ file:
```
7
Lattice="-0.667 -4.979 0.636 4.232 -3.111 0.238 -0.176 -1.926 4.889" Properties=species:S:1:pos:R:3 pbc="T T T"
Cu -0.274 -2.276 2.050
Pm 0.000 0.000 0.000
Cu 2.169 -5.365 0.587
Cu -0.569 -4.629 3.476
Zn 1.528 -6.253 3.041
Cu 1.396 -2.725 0.288
Zn 1.861 -3.763 2.723
```

Space group: I4/mmm, No. 139
D(E_F): 3.22 states/eV per cell
Formation energy from the elements: -0.217 eV/atom

***

Record 21
The following is a PBE-GGA calculation of crystalline ScSb2Mo at its relaxed geometry, from Alexandria via LeMat-Bulk.

extended XYZ file:
```
4
Lattice="9.412 -0.145 -0.085 8.861 3.176 -0.085 8.861 1.470 2.817" Properties=species:S:1:pos:R:3 pbc="T T T"
Sb 6.677 1.108 0.651
Sb 0.356 0.059 0.035
Sc 13.348 2.214 1.302
Mo 20.319 3.371 1.982
```

Space group: R3m, No. 160
D(E_F): 3.73 states/eV per cell
ΔE_f (raw): 0.06 eV per atom

***

Record 22
The following is a PBE-GGA calculation of crystalline PmBe2Ru2C at its relaxed geometry, from Alexandria via LeMat-Bulk.

extended XYZ file:
```
6
Lattice="-1.815 -2.565 -2.518 3.006 -2.630 0.513 -2.543 -2.127 4.000" Properties=species:S:1:pos:R:3 pbc="T T T"
C 0.000 0.000 0.000
Pm -1.272 -1.064 2.000
Ru -0.908 -1.283 -1.259
Be -1.296 -4.180 1.973
Ru 1.503 -1.315 0.256
Be -0.056 -3.143 0.022
```

Space group: P4/mmm, No. 123
D(E_F): 1.70 states/eV per cell
Formation energy from the elements: -0.281 eV/atom

***

Record 23
The following is a PBE-GGA calculation of crystalline Li2CoW at its relaxed geometry, from Alexandria via LeMat-Bulk.

extended XYZ file:
```
8
Lattice="-3.033 3.463 4.876 -5.661 0.102 -3.593 -5.027 -0.241 1.656" Properties=species:S:1:pos:R:3 pbc="T T T"
Li -3.767 2.011 2.864
W -6.203 2.502 3.587
Co -4.347 1.782 0.641
Li -5.266 0.541 -1.074
Co -7.517 0.821 -0.648
Li -7.202 1.159 1.614
Li -11.205 2.935 2.474
W 0.000 0.000 0.000
```

Space group: I-42d, No. 122
D(E_F): 8.79 states/eV per cell
Formation energy from the elements: 0.951 eV/atom

***

Record 24
The following is a PBE-GGA calculation of crystalline AcPr2Sm5Er at its relaxed geometry, from Alexandria via LeMat-Bulk.

extended XYZ file:
```
18
Lattice="-1.588 4.915 -7.321 -5.819 -6.173 -2.882 -2.188 4.403 8.913" Properties=species:S:1:pos:R:3 pbc="T T T"
Sm 0.000 0.000 0.000
Pr -4.996 0.522 -8.239
Pr -5.740 -3.568 -5.341
Sm -7.325 -0.413 -6.433
Er -5.855 -1.200 0.464
Pr -2.411 -1.780 -1.964
Sm -3.703 -0.629 -5.102
Sm -6.343 1.959 0.429
Er -3.739 4.344 -1.755
Ac -6.649 1.258 -3.196
Pr -1.667 2.309 -4.863
Sm -6.022 -2.331 -2.520
Sm -4.554 3.103 -5.632
Ac -2.946 1.887 1.906
Sm -3.572 5.476 1.230
Sm -3.252 1.186 -1.720
Sm -5.040 0.042 4.342
Sm -2.270 3.558 5.142
```

Space group: I4/mcm, No. 140
D(E_F): 20.99 states/eV per cell
Formation energy from the elements: 0.257 eV/atom

***

Record 25
The following is a PBE-GGA calculation of crystalline PmBi2Pt at its relaxed geometry, from Alexandria via LeMat-Bulk.

extended XYZ file:
```
4
Lattice="-0.144 -1.517 -3.404 3.129 -1.184 -1.648 -0.288 -10.039 2.444" Properties=species:S:1:pos:R:3 pbc="T T T"
Pt 1.348 -6.370 -1.304
Bi 2.573 -5.638 -3.725
Bi 0.124 -7.102 1.117
Pm 0.000 0.000 0.000
```

Space group: R-3m, No. 166
D(E_F): 3.64 states/eV per cell
Formation energy from the elements: -0.074 eV/atom